# 1
# Sc4TlCd2Ag (PBE, relaxed)
# E_form   -0.28 eV per atom
data_Sc4TlCd2Ag
_cell_length_a 4.9851
_cell_length_b 4.9851
_cell_length_c 24.4764
_cell_angle_alpha 90.00
_cell_angle_beta 90.00
_cell_angle_gamma 120.00
_symmetry_space_group_name_H-M 'R -3 m'
_symmetry_Int_Tables_number 166
_symmetry_space_group_name_Hall '-R 3 2"'
loop_
_atom_site_label
_atom_site_fract_x
_atom_site_fract_y
_atom_site_fract_z
Sc1 0.0000 0.0000 0.1223
Sc2 0.0000 0.0000 0.3728
Tl1 0.0000 0.0000 0.5000
Cd1 0.0000 0.0000 0.2515
Ag1 0.0000 0.0000 0.0000

---

# 2
# BaUO6 (PBE, relaxed)
# E   -7.2142 eV per atom
data_BaUO6
_cell_length_a 7.6443
_cell_length_b 7.6443
_cell_length_c 7.5685
_cell_angle_alpha 90.00
_cell_angle_beta 90.00
_cell_angle_gamma 120.00
_symmetry_space_group_name_H-M 'R -3 m'
_symmetry_Int_Tables_number 166
_symmetry_space_group_name_Hall '-R 3 2"'
loop_
_atom_site_label
_atom_site_fract_x
_atom_site_fract_y
_atom_site_fract_z
Ba1 0.0000 0.0000 0.0000
U1 0.0000 0.0000 0.5000
O1 0.1091 0.5546 0.3298

---

# 3
# LiHgIr (PBE, relaxed)
# E above lowest polymorph   0.045 eV per formula unit
# E_form   0.15 eV per atom
data_LiHgIr
_cell_length_a 3.014
_cell_length_b 4.691
_cell_length_c 13.976
_cell_angle_alpha 90.00
_cell_angle_beta 90.00
_cell_angle_gamma 90.00
_symmetry_space_group_name_H-M 'F m m 2'
_symmetry_Int_Tables_number 42
_symmetry_space_group_name_Hall 'F 2 -2'
loop_
_atom_site_label
_atom_site_fract_x
_atom_site_fract_y
_atom_site_fract_z
Li1 0.000 0.000 0.000
Hg1 0.000 0.000 0.327
Ir1 0.000 0.000 0.647

---

# 4
# FeNi3Pt (PBE, relaxed)
# E above lowest polymorph   1.763 eV per formula unit
# E_form   0.25 eV per atom
data_FeNi3Pt
_cell_length_a 6.9008
_cell_length_b 6.9008
_cell_length_c 9.7219
_cell_angle_alpha 90.00
_cell_angle_beta 90.00
_cell_angle_gamma 120.00
_symmetry_space_group_name_H-M 'R -3 c'
_symmetry_Int_Tables_number 167
_symmetry_space_group_name_Hall '-R 3 2"c'
loop_
_atom_site_label
_atom_site_fract_x
_atom_site_fract_y
_atom_site_fract_z
Fe1 0.0000 0.0000 0.0000
Ni1 0.0000 0.3588 0.2500
Pt1 0.0000 0.0000 0.2500

---

# 5
# Sm6Ge2P3S (PBE, relaxed)
# E   -6.2149 eV per atom
data_Sm6Ge2P3S
_cell_length_a 18.073
_cell_length_b 4.086
_cell_length_c 8.360
_cell_angle_alpha 90.00
_cell_angle_beta 103.56
_cell_angle_gamma 90.00
_symmetry_space_group_name_H-M 'C 1 2/m 1'
_symmetry_Int_Tables_number 12
_symmetry_space_group_name_Hall '-C 2y'
loop_
_atom_site_label
_atom_site_fract_x
_atom_site_fract_y
_atom_site_fract_z
Sm1 0.001 0.000 0.247
Sm2 0.164 0.500 0.091
Sm3 0.166 0.500 0.575
Ge1 0.166 0.000 0.833
P1 0.000 0.500 0.000
P2 0.165 0.000 0.335
S1 0.000 0.500 0.500